# Co2NiMo GGA-PBEsol relaxed
data_Co2NiMo
_chemical_formula_sum 'Co4 Ni2 Mo2'
_cell_length_a 3.5239
_cell_length_b 3.5239
_cell_length_c 7.2513
_cell_angle_alpha 90.00
_cell_angle_beta 90.00
_cell_angle_gamma 90.00
_symmetry_space_group_name_H-M 'I -4 m 2'
_symmetry_Int_Tables_number 119
_symmetry_space_group_name_Hall 'I -4 -2'
loop_
_atom_site_label
_atom_site_type_symbol
_atom_site_fract_x
_atom_site_fract_y
_atom_site_fract_z
Co1 Co 0.0000 0.0000 0.0000
Co2 Co 0.0000 0.5000 0.2500
Ni1 Ni 0.0000 0.0000 0.5000
Mo1 Mo 0.0000 0.5000 0.7500
# excess energy over the best structure of this formula in the dataset	7.3	kJ/mol of formula units
# total moment	0.290	μB/atom
# energy	-8.3817	eV per atom